Material: TbCoB
Method: DFT, PBE-GGA
State: relaxed

Cell and atoms, written as CIF:
```
data_TbCoB
_chemical_formula_sum 'Tb1 Co1 B1'
_cell_length_a 4.041
_cell_length_b 4.041
_cell_length_c 4.041
_cell_angle_alpha 60.00
_cell_angle_beta 60.00
_cell_angle_gamma 60.00
_symmetry_space_group_name_H-M 'P 1'
_symmetry_Int_Tables_number 1
loop_
_symmetry_equiv_pos_as_xyz
'x,y,z'
loop_
_atom_site_label
_atom_site_fract_x
_atom_site_fract_y
_atom_site_fract_z
B1 0.000 0.000 0.000
Co1 0.750 0.750 0.750
Tb1 0.250 0.250 0.250
```

Properties
As for the raw total energy: -5.9317 eV/atom.

---

Material: Tb3Cd3InGaAu
Method: DFT, PBE-GGA
State: relaxed

Cell and atoms, written as CIF:
```
data_Tb3Cd3InGaAu
_chemical_formula_sum 'Tb3 Cd3 In1 Ga1 Au1'
_cell_length_a 7.538
_cell_length_b 7.538
_cell_length_c 4.325
_cell_angle_alpha 90.00
_cell_angle_beta 90.00
_cell_angle_gamma 120.00
_symmetry_space_group_name_H-M 'P 1'
_symmetry_Int_Tables_number 1
loop_
_symmetry_equiv_pos_as_xyz
'x,y,z'
loop_
_atom_site_label
_atom_site_fract_x
_atom_site_fract_y
_atom_site_fract_z
Au1 0.000 0.000 0.500
Cd1 0.413 0.074 0.500
Cd2 0.926 0.339 0.500
Cd3 0.661 0.587 0.500
Ga1 0.333 0.667 0.500
In1 0.667 0.333 0.000
Tb1 0.238 0.331 0.000
Tb2 0.092 0.762 0.000
Tb3 0.669 0.908 0.000
```

Properties
As for the raw total energy: -3.3591 eV/atom.